A plane-wave DFT calculation with PBE was carried out for an optimized crystal structure of Ta2BePbF.

a = 4.2755 Å, b = 4.2755 Å, c = 4.6110 Å
α = 90.00°, β = 90.00°, γ = 90.00°
Closest atoms and distances in Å follow each position.
Space group P4/mmm (No. 123)
One atom of each set of equivalent atoms:
Ta1 0.0000 0.5000 0.0000 [2 per cell]  2 F 2.14
Be1 0.0000 0.0000 0.5000 [1 per cell]  2 F 2.31
Pb1 0.5000 0.5000 0.5000 [1 per cell]  4 Be 3.02, 8 Ta 3.14
F1 0.0000 0.0000 0.0000 [1 per cell]  4 Ta 2.14, 2 Be 2.31

Values from the calculation:
Formation energy from raw total energies   212 kJ/mol of formula units